Model one:
La2Sc | SCAN | PBEsol geometry

Summary:
- symmetry = No. 71

Unit cell a=3.497 b=4.982 c=5.985 alpha=114.59 beta=106.99 gamma=90.00
Atoms (fractional coordinates):
La: 0.169 0.169 0.338
La: 0.831 0.831 0.662
Sc: 0.500 0.500 0.000

=====

Model two:
La2Sc | SCAN | PBEsol geometry

Summary:
- symmetry = No. 139

Unit cell a=3.581 b=3.581 c=7.520 alpha=103.78 beta=103.78 gamma=90.00
Each line ends with the local moment (μB).
Atoms (fractional coordinates):
Sc: 0.000 0.000 0.000  0.29
La: 0.338 0.338 0.675  -0.02
La: 0.662 0.662 0.325  -0.02

=====

Name the most stable of them. model one.

=====

Model one:
Sc2FeW | SCAN | PBEsol geometry

Summary:
- symmetry = No. 123

Unit cell a=4.001 b=4.001 c=4.170 alpha=90.00 beta=90.00 gamma=90.00
Each line ends with the local moment (μB).
Atoms (fractional coordinates):
Fe: 0.000 0.000 0.500  2.72
Sc: 0.500 0.000 0.000  -0.09
Sc: 0.000 0.500 0.000  -0.09
W: 0.500 0.500 0.500  0.07

=====

Model two:
Sc2FeW | SCAN | PBEsol geometry

Summary:
- symmetry = No. 71

Unit cell a=3.031 b=4.619 c=5.326 alpha=115.70 beta=106.53 gamma=90.00
Atoms (fractional coordinates):
Sc: 0.284 0.284 0.568
Sc: 0.716 0.716 0.432
W: 0.500 0.000 0.000
Fe: 0.000 0.500 0.000

=====

Name the most stable of them. model two.

=====

Model one:
BaCrBr2 | SCAN | PBEsol geometry

Summary:
- symmetry = No. 123

Unit cell a=4.135 b=5.145 c=5.145 alpha=90.00 beta=90.00 gamma=90.00
Each line ends with the local moment (μB).
Atoms (fractional coordinates):
Ba: 0.500 0.000 0.000  0.08
Br: 0.000 0.000 0.500  0.04
Br: 0.000 0.500 0.000  0.04
Cr: 0.500 0.500 0.500  4.55

=====

Model two:
BaCrBr2 | SCAN | PBEsol geometry

Summary:
- symmetry = No. 166

Unit cell a=4.160 b=4.160 c=9.338 alpha=77.13 beta=77.13 gamma=60.00
Each line ends with the local moment (μB).
Atoms (fractional coordinates):
Br: 0.117 0.117 0.649  0.00
Br: 0.883 0.883 0.351  0.00
Ba: 0.000 0.000 0.000  -0.01
Cr: 0.500 0.500 0.500  4.18

=====

Name the most stable of them. model one.

=====

Model one:
CaLaHg | SCAN | PBEsol geometry

Summary:
- symmetry = No. 107

Unit cell a=3.671 b=3.671 c=7.323 alpha=104.52 beta=104.52 gamma=90.00
Atoms (fractional coordinates):
La: 0.309 0.309 0.617
Hg: 0.663 0.663 0.326
Ca: 0.029 0.029 0.057

=====

Model two:
CaLaHg | SCAN | PBEsol geometry

Summary:
- symmetry = No. 156

Unit cell a=3.816 b=5.206 c=5.206 alpha=120.00 beta=90.00 gamma=90.00
Atoms (fractional coordinates):
Ca: 0.903 0.000 0.000
La: 0.367 0.667 0.333
Hg: 0.730 0.333 0.667

=====

Name the most stable of them. model one.